## NaCdBr3 (PBE)

Data for NaCdBr3 after structural relaxation.

Properties
Its final energy is -0.09224 Ha/atom. The total moment comes out at 0.00 μB/f.u. The value obtained for the calculated volume is 45.11 A^3/atom. The calculation puts the formation energy from raw total energies at -1059.3 meV per atom.

Cell and atoms, written as CIF:
```
data_NaCdBr3
_chemical_formula_sum 'Na2 Cd2 Br6'
_cell_length_a 4.063
_cell_length_b 7.860
_cell_length_c 14.123
_cell_angle_alpha 90.00
_cell_angle_beta 90.00
_cell_angle_gamma 90.00
_symmetry_space_group_name_H-M 'A m m 2'
_symmetry_Int_Tables_number 38
loop_
_symmetry_equiv_pos_as_xyz
'x,y,z'
'-x,-y,z'
'-x,y,z'
'x,-y,z'
'x,y+1/2,z+1/2'
'-x,-y+1/2,z+1/2'
'-x,y+1/2,z+1/2'
'x,-y+1/2,z+1/2'
loop_
_atom_site_label
_atom_site_type_symbol
_atom_site_fract_x
_atom_site_fract_y
_atom_site_fract_z
Na1 Na 0.000 0.000 0.000
Cd1 Cd 0.500 0.000 0.679
Br1 Br 0.000 0.232 0.640
Br2 Br 0.500 0.000 0.867
```